DFT (PBE) results for a relaxed structure of RbSr2Cd.

Geometry as POSCAR:
```
RbSr2Cd
1.0
2.206 1.274 13.187
-2.206 1.274 13.187
0.000 -2.547 13.187
Rb Sr Cd
1 2 1
direct
0.000 0.000 0.000 Rb
0.110 0.110 0.110 Sr
0.890 0.890 0.890 Sr
0.500 0.500 0.500 Cd
```

Final energy: -1.30 eV per atom
DOS(E_F): 1.100 states/eV/atom
ΔH_f (0 K): 10 meV per atom

---

DFT (PBE) results for a relaxed structure of SrLiZn.

Geometry as POSCAR:
```
SrLiZn
1.0
4.528 0.000 0.000
0.000 4.528 0.000
0.000 0.000 8.141
Sr Li Zn
2 2 2
direct
0.250 0.250 0.161 Sr
0.750 0.750 0.839 Sr
0.250 0.750 0.500 Li
0.750 0.250 0.500 Li
0.250 0.250 0.712 Zn
0.750 0.750 0.288 Zn
```

Final energy: -1.74 eV per atom
DOS(E_F): 0.927 states/eV/atom
ΔH_f (0 K): -121 meV per atom

---

DFT (PBE) results for a relaxed structure of TbHoTlRh.

Geometry as POSCAR:
```
TbHoTlRh
1.0
0.000 3.617 3.617
3.617 0.000 3.617
3.617 3.617 0.000
Tb Ho Tl Rh
1 1 1 1
direct
0.000 0.000 0.000 Tb
0.500 0.500 0.500 Ho
0.750 0.750 0.750 Tl
0.250 0.250 0.250 Rh
```

Final energy: -5.23 eV per atom
DOS(E_F): 0.464 states/eV/atom
ΔH_f (0 K): -496 meV per atom

---

DFT (PBE) results for a relaxed structure of Sr6Tl5Cu.

Geometry as POSCAR:
```
Sr6Tl5Cu
1.0
2.849 -8.586 0.000
2.849 8.586 0.000
0.000 0.000 8.235
Sr Tl Cu
6 5 1
direct
0.000 0.000 0.239 Sr
0.000 0.000 0.761 Sr
0.339 0.661 0.246 Sr
0.339 0.661 0.754 Sr
0.661 0.339 0.246 Sr
0.661 0.339 0.754 Sr
0.168 0.832 0.500 Tl
0.175 0.825 0.000 Tl
0.500 0.500 0.500 Tl
0.825 0.175 0.000 Tl
0.832 0.168 0.500 Tl
0.500 0.500 0.000 Cu
```

Final energy: -2.51 eV per atom
DOS(E_F): 0.661 states/eV/atom
ΔH_f (0 K): -340 meV per atom

---

DFT (PBE) results for a relaxed structure of Ta2OsW.

Geometry as POSCAR:
```
Ta2OsW
1.0
1.520 0.878 8.538
-1.520 0.878 8.538
0.000 -1.756 8.538
Ta Os W
2 1 1
direct
0.249 0.249 0.249 Ta
0.751 0.751 0.751 Ta
0.500 0.500 0.500 Os
0.000 0.000 0.000 W
```

Final energy: -11.79 eV per atom
DOS(E_F): 0.981 states/eV/atom
ΔH_f (0 K): 179 meV per atom

---

DFT (PBE) results for a relaxed structure of Hf12Sn3Sb.

Geometry as POSCAR:
```
Hf12Sn3Sb
1.0
5.577 0.000 0.000
0.000 5.579 0.000
0.000 0.000 11.186
Hf Sn Sb
12 3 1
direct
0.000 0.000 0.124 Hf
0.000 0.000 0.374 Hf
0.000 0.000 0.626 Hf
0.000 0.000 0.876 Hf
0.249 0.500 0.500 Hf
0.250 0.500 0.000 Hf
0.500 0.250 0.250 Hf
0.500 0.250 0.750 Hf
0.500 0.750 0.250 Hf
0.500 0.750 0.750 Hf
0.750 0.500 0.000 Hf
0.751 0.500 0.500 Hf
0.000 0.500 0.250 Sn
0.000 0.500 0.750 Sn
0.500 0.000 0.000 Sn
0.500 0.000 0.500 Sb
```

Uncorrected formation energy: -0.228 eV per atom
Final energy: -8.70 eV per atom
DOS(E_F): 1.102 states/eV/atom

---

DFT (PBE) results for a relaxed structure of MgCrRh2C.

Geometry as POSCAR:
```
MgCrRh2C
1.0
4.118 0.000 0.000
0.000 4.118 0.000
0.000 0.000 3.959
Mg Cr Rh C
1 1 2 1
direct
0.000 0.000 0.000 Mg
0.500 0.500 0.000 Cr
0.000 0.500 0.500 Rh
0.500 0.000 0.500 Rh
0.500 0.500 0.500 C
```

Final energy: -7.17 eV per atom
DOS(E_F): 0.546 states/eV/atom
ΔH_f (0 K): -140 meV per atom

---

DFT (PBE) results for a relaxed structure of LaTmAgRh.

Geometry as POSCAR:
```
LaTmAgRh
1.0
0.000 3.598 3.598
3.598 0.000 3.598
3.598 3.598 0.000
La Tm Ag Rh
1 1 1 1
direct
0.000 0.000 0.000 La
0.500 0.500 0.500 Tm
0.250 0.250 0.250 Ag
0.750 0.750 0.750 Rh
```

Final energy: -5.40 eV per atom
DOS(E_F): 0.768 states/eV/atom
ΔH_f (0 K): -501 meV per atom

---

DFT (PBE) results for a relaxed structure of AcSmAg.

Geometry as POSCAR:
```
AcSmAg
1.0
16.258 0.000 0.000
0.000 4.096 0.000
0.000 0.000 8.856
Ac Sm Ag
6 6 6
direct
0.058 0.000 0.215 Ac
0.250 0.000 0.867 Ac
0.442 0.000 0.215 Ac
0.558 0.000 0.785 Ac
0.750 0.000 0.133 Ac
0.942 0.000 0.785 Ac
0.106 0.500 0.574 Sm
0.250 0.500 0.249 Sm
0.394 0.500 0.574 Sm
0.606 0.500 0.426 Sm
0.750 0.500 0.751 Sm
0.894 0.500 0.426 Sm
0.092 0.500 0.933 Ag
0.250 0.000 0.497 Ag
0.408 0.500 0.933 Ag
0.592 0.500 0.067 Ag
0.750 0.000 0.503 Ag
0.908 0.500 0.067 Ag
```

Final energy: -4.04 eV per atom
DOS(E_F): 0.985 states/eV/atom
ΔH_f (0 K): -143 meV per atom

---

DFT (PBE) results for a relaxed structure of CuReP2.

Geometry as POSCAR:
```
CuReP2
1.0
3.272 0.000 0.000
0.000 1.522 5.939
0.000 -1.522 5.939
Cu Re P
1 1 2
direct
0.000 0.000 0.000 Cu
0.500 0.792 0.792 Re
0.000 0.196 0.196 P
0.500 0.448 0.448 P
```

Final energy: -6.90 eV per atom
DOS(E_F): 0.386 states/eV/atom
ΔH_f (0 K): -56 meV per atom

---

DFT (PBE) results for a relaxed structure of Tm3Zn2Pd6.

Geometry as POSCAR:
```
Tm3Zn2Pd6
1.0
-4.720 4.720 4.720
4.720 -4.720 4.720
4.720 4.720 -4.720
Tm Zn Pd
6 4 12
direct
0.000 0.302 0.302 Tm
0.000 0.698 0.698 Tm
0.302 0.000 0.302 Tm
0.302 0.302 0.000 Tm
0.698 0.000 0.698 Tm
0.698 0.698 0.000 Tm
0.000 0.000 0.500 Zn
0.000 0.500 0.000 Zn
0.500 0.000 0.000 Zn
0.500 0.500 0.500 Zn
0.000 0.335 0.665 Pd
0.000 0.665 0.335 Pd
0.331 0.665 0.665 Pd
0.335 0.000 0.665 Pd
0.335 0.335 0.669 Pd
0.335 0.665 0.000 Pd
0.335 0.669 0.335 Pd
0.665 0.000 0.335 Pd
0.665 0.331 0.665 Pd
0.665 0.335 0.000 Pd
0.665 0.665 0.331 Pd
0.669 0.335 0.335 Pd
```

Final energy: -5.07 eV per atom
DOS(E_F): 0.391 states/eV/atom
ΔH_f (0 K): -782 meV per atom

---

DFT (PBE) results for a relaxed structure of In2TcSbO.

Geometry as POSCAR:
```
In2TcSbO
1.0
5.208 0.000 0.000
0.000 5.208 0.000
0.000 0.000 4.961
In Tc Sb O
2 1 1 1
direct
0.000 0.500 0.000 In
0.500 0.000 0.000 In
0.000 0.000 0.000 Tc
0.000 0.000 0.500 Sb
0.500 0.500 0.500 O
```

Uncorrected formation energy: 0.483 eV per atom
Final energy: -4.50 eV per atom
DOS(E_F): 1.705 states/eV/atom